Entry from Alexandria: a relaxed structure of KMoO3 (PBE+U).

Unit cell a=4.3268 b=4.3268 c=4.3268 alpha=90.00 beta=90.00 gamma=90.00
Space group Pm-3m (No. 221)
Asymmetric unit:
K 0.0000 0.0000 0.0000 x1
Mo 0.5000 0.5000 0.5000 x1
O 0.0000 0.0000 0.5000 x3

Energy, Ha/atom: -0.13382